Entry 1:
NaH4Pt (PBE-GGA, relaxed); VASP energy = -3.704 eV per atom; N(E_F) = 0.57 states/eV/f.u.
1.0
5.085 0.000 0.000
0.000 4.713 0.000
-1.170 0.000 5.018
Na H Pt
2 8 2
Cartesian
0.000 0.000 0.000 Na
-0.585 2.357 2.509 Na
0.335 0.002 2.198 H
-0.251 2.354 4.707 H
1.665 1.169 3.773 H
2.250 1.188 1.264 H
1.666 3.525 3.754 H
2.251 3.545 1.245 H
4.166 2.359 0.311 H
3.581 4.711 2.820 H
1.958 0.000 2.509 Pt
2.543 2.357 0.000 Pt

Entry 2:
NbVRuW (PBE-GGA, relaxed); VASP energy = -9.754 eV per atom; N(E_F) = 3.29 states/eV/f.u.; formation energy from the elements = 2.40 eV per formula unit
1.0
2.972 0.000 0.000
0.000 3.151 0.000
0.000 0.000 14.902
Nb V Ru W
2 2 2 2
Cartesian
0.000 0.000 0.000 Nb
0.000 1.575 7.451 Nb
1.486 0.000 3.629 V
1.486 1.575 11.080 V
1.486 0.000 5.902 Ru
1.486 1.575 13.353 Ru
0.000 0.000 9.642 W
0.000 1.575 2.191 W

Entry 3:
RbAgCl3 (PBE-GGA, relaxed); VASP energy = -2.764 eV per atom; uncorrected formation energy = -4.46 eV/f.u.; N(E_F) = 0.00 states/eV/f.u.
1.0
7.907 0.000 0.000
0.000 10.780 0.000
0.000 0.000 8.307
Rb Ag Cl
4 4 12
Cartesian
0.000 0.000 0.000 Rb
0.000 5.390 0.000 Rb
3.954 0.000 4.153 Rb
3.954 5.390 4.153 Rb
0.261 2.695 4.022 Ag
3.693 8.085 8.175 Ag
4.214 2.695 0.132 Ag
7.646 8.085 4.285 Ag
1.070 6.415 5.363 Cl
1.070 9.755 5.363 Cl
1.759 8.085 1.275 Cl
2.195 2.695 5.428 Cl
2.883 1.025 1.210 Cl
2.883 4.365 1.210 Cl
5.024 6.415 7.097 Cl
5.024 9.755 7.097 Cl
5.712 8.085 2.879 Cl
6.148 2.695 7.032 Cl
6.837 1.025 2.943 Cl
6.837 4.365 2.943 Cl